An optimized crystal structure of Ti2MnP3O12, computed with PBE+U.

```
Ti2MnP3O12
1.0
4.341 2.506 7.063
-4.341 2.506 7.063
0.000 -5.013 7.063
Ti Mn P O
4 2 6 24
Direct
0.145 0.145 0.145 Ti
0.355 0.355 0.355 Ti
0.645 0.645 0.645 Ti
0.855 0.855 0.855 Ti
0.000 0.000 0.000 Mn
0.500 0.500 0.500 Mn
0.043 0.750 0.457 P
0.250 0.543 0.957 P
0.457 0.043 0.750 P
0.543 0.957 0.250 P
0.750 0.457 0.043 P
0.957 0.250 0.543 P
0.001 0.812 0.616 O
0.058 0.913 0.264 O
0.087 0.736 0.942 O
0.116 0.312 0.501 O
0.188 0.384 0.999 O
0.236 0.587 0.442 O
0.264 0.058 0.913 O
0.312 0.501 0.116 O
0.384 0.999 0.188 O
0.413 0.558 0.764 O
0.442 0.236 0.587 O
0.499 0.884 0.688 O
0.501 0.116 0.312 O
0.558 0.764 0.413 O
0.587 0.442 0.236 O
0.616 0.001 0.812 O
0.688 0.499 0.884 O
0.736 0.942 0.087 O
0.764 0.413 0.558 O
0.812 0.616 0.001 O
0.884 0.688 0.499 O
0.913 0.264 0.058 O
0.942 0.087 0.736 O
0.999 0.188 0.384 O
```

Calculated values
The density of states at the Fermi level is 5.92 states/eV per cell. The calculation puts the electronic total energy at -286.50 eV/cell. As for the space group: R-3c, No. 167.